Density functional theory data (PBE-GGA) for a relaxed CaInHg2Bi crystal.

- density of states at the Fermi level (states/eV/f.u.) = 2.08
- DFT formation energy (eV/atom) = -0.21
- crystal system = tetragonal

abc: 4.232 4.232 16.843
angles: 90.00 90.00 90.00
Space group I4mm (No. 107)
Unique sites:
1 Ca 0.000 0.000 0.000 x2
2 In 0.000 0.000 0.198 x2
3 Hg 0.000 0.500 0.350 x4
4 Bi 0.000 0.000 0.604 x2

---

Density functional theory data (PBE-GGA) for a relaxed K2CaHg3Bi4 crystal.

- density of states at the Fermi level (states/eV/f.u.) = 4.50
- DFT formation energy (eV/atom) = -0.30
- crystal system = tetragonal

abc: 5.044 5.044 13.649
angles: 90.00 90.00 90.00
Space group P-4m2 (No. 115)
Unique sites:
1 K 0.000 0.500 0.242 x2
2 Ca 0.000 0.000 0.500 x1
3 Hg 0.000 0.500 0.857 x2
4 Hg 0.500 0.500 0.500 x1
5 Bi 0.000 0.000 0.000 x1
6 Bi 0.000 0.500 0.639 x2
7 Bi 0.500 0.500 0.000 x1

---

Density functional theory data (PBE-GGA) for a relaxed KCaHgBi crystal.

- DFT formation energy (eV/atom) = -0.53
- crystal system = cubic

abc: 8.044 8.044 8.044
angles: 90.00 90.00 90.00
Space group F-43m (No. 216)
Unique sites:
1 K 0.000 0.000 0.000 x4
2 Ca 0.000 0.000 0.500 x4
3 Hg 0.250 0.250 0.750 x4
4 Bi 0.250 0.250 0.250 x4

---

Density functional theory data (PBE-GGA) for a relaxed LiCaHgBi crystal.

- density of states at the Fermi level (states/eV/f.u.) = 0.23
- DFT formation energy (eV/atom) = -0.59
- crystal system = cubic

abc: 7.494 7.494 7.494
angles: 90.00 90.00 90.00
Space group F-43m (No. 216)
Unique sites:
1 Li 0.000 0.000 0.000 x4
2 Ca 0.000 0.000 0.500 x4
3 Hg 0.250 0.250 0.250 x4
4 Bi 0.250 0.250 0.750 x4

---

What is the DFT formation energy in the third record? -0.53 eV/atom